The following is a DFT calculation (GGA-PBE) of a relaxed structure of ZrRe2.

## Properties
calculated total energy = -34.412 eV per formula unit
space-group type = Fd-3m (227)

Structure (extended XYZ):
```
6
Lattice="0.000 3.752 3.752 3.752 0.000 3.752 3.752 3.752 0.000" Properties=species:S:1:pos:R:3 pbc="T T T"
Zr 0.938 0.938 0.938
Zr 6.567 6.567 6.567
Re 3.752 1.876 1.876
Re 1.876 3.752 1.876
Re 1.876 1.876 3.752
Re 3.752 3.752 3.752
```